Record 1
Below is an optimized crystal structure of La2AlPt, with properties calculated at the PBE level.

Values from the calculation:
**Fermi-level density of states**: 2.7 states/eV/f.u.
**ΔH_f (0 K)**: -0.727 eV/atom
**Space group**: Imm2

Lattice parameters (Å, degrees): 6.3944 6.3944 6.3944 146.06 135.09 57.46
Closest atoms and distances in Å follow each position.
Element x y z (fractional)
La  0.0000  0.0000  0.0000  4 Al 3.25, 2 Pt 3.36, 2 La 3.38
La  0.7079  0.2079  0.5000  4 Pt 3.11, 2 Al 3.31, 2 La 3.38
Al  0.4068  0.4068  0.0000  2 Pt 2.57
Pt  0.2491  0.7491  0.5000  2 Al 2.57

Record 2
Below is an optimized crystal structure of LaAl5Pt3, with properties calculated at the PBE level.

Values from the calculation:
**Fermi-level density of states**: 3.6 states/eV/f.u.
**ΔH_f (0 K)**: -0.972 eV/atom
**Space group**: Cmcm

Lattice parameters (Å, degrees): 6.8003 6.8003 12.6386 90.00 90.00 144.83
Closest atoms and distances in Å follow each position.
Element x y z (fractional)
La  0.1652  0.8348  0.7500  7 Pt 3.40-3.71, 8 Al 3.58-3.75
La  0.8348  0.1652  0.2500  7 Pt 3.40-3.71, 8 Al 3.58-3.75
Al  0.0000  0.0000  0.0000  4 Pt 2.57, 6 Al 2.71-2.88
Al  0.0000  0.0000  0.5000  4 Pt 2.57, 6 Al 2.71-2.88
Al  0.1993  0.8007  0.0637  4 Pt 2.46-2.70, 1 Al 2.71
Al  0.1993  0.8007  0.4363  4 Pt 2.46-2.70, 1 Al 2.71
Al  0.4443  0.5557  0.6491  4 Pt 2.53-2.56, 1 Al 2.55
Al  0.4443  0.5557  0.8509  4 Pt 2.53-2.56, 1 Al 2.55
Al  0.5557  0.4443  0.1491  4 Pt 2.53-2.56, 1 Al 2.55
Al  0.5557  0.4443  0.3509  4 Pt 2.53-2.56, 1 Al 2.55
Al  0.8007  0.1993  0.5637  4 Pt 2.46-2.70, 1 Al 2.71
Al  0.8007  0.1993  0.9363  4 Pt 2.46-2.70, 1 Al 2.71
Pt  0.1212  0.8788  0.2500  6 Al 2.56
Pt  0.3877  0.6123  0.0425  7 Al 2.46-2.70
Pt  0.3877  0.6123  0.4575  7 Al 2.46-2.70
Pt  0.6123  0.3877  0.5425  7 Al 2.46-2.70
Pt  0.6123  0.3877  0.9575  7 Al 2.46-2.70
Pt  0.8788  0.1212  0.7500  6 Al 2.56

Record 3
Below is an optimized crystal structure of La3Al8Pt3, with properties calculated at the PBE level.

Values from the calculation:
**Fermi-level density of states**: 6.8 states/eV/f.u.
**ΔH_f (0 K)**: -0.823 eV/atom
**Space group**: C2/m

Lattice parameters (Å, degrees): 8.4084 8.4084 9.0616 122.14 122.14 31.43
Closest atoms and distances in Å follow each position.
Element x y z (fractional)
La  0.0000  0.0000  0.0000  8 Al 3.19-3.31, 4 Pt 3.34
La  0.2857  0.2857  0.3032  11 Al 3.08-3.31, 3 Pt 3.29-3.43
La  0.7143  0.7143  0.6968  11 Al 3.08-3.31, 3 Pt 3.29-3.43
Al  0.1311  0.1311  0.4223  1 Pt 2.58, 2 Al 2.70
Al  0.1527  0.1527  0.8651  4 Pt 2.60-2.83
Al  0.3489  0.3489  0.7161  1 Pt 2.56, 3 Al 2.70-2.79
Al  0.4921  0.4921  0.3241  3 Pt 2.55-2.74, 1 Al 2.79
Al  0.5079  0.5079  0.6759  3 Pt 2.55-2.74, 1 Al 2.79
Al  0.6511  0.6511  0.2839  1 Pt 2.56, 3 Al 2.70-2.79
Al  0.8473  0.8473  0.1349  4 Pt 2.60-2.83
Al  0.8689  0.8689  0.5777  1 Pt 2.58, 2 Al 2.70
Pt  0.0000  0.0000  0.5000  8 Al 2.58-2.83
Pt  0.3489  0.3489  0.9990  5 Al 2.55-2.70
Pt  0.6511  0.6511  0.0010  5 Al 2.55-2.70

Record 4
Below is an optimized crystal structure of La2AlPt, with properties calculated at the PBE level.

Values from the calculation:
**Fermi-level density of states**: 3.7 states/eV/f.u.
**ΔH_f (0 K)**: -0.404 eV/atom
**Space group**: I-42d

Lattice parameters (Å, degrees): 6.7383 6.7383 6.7383 103.53 103.53 122.16
Closest atoms and distances in Å follow each position.
Element x y z (fractional)
La  0.0799  0.6250  0.9549  2 Pt 2.82
La  0.3750  0.3299  0.4549  2 Pt 2.82
La  0.6701  0.1250  0.0451  2 Pt 2.82
La  0.8750  0.9201  0.5451  2 Pt 2.82
Al  0.2500  0.7500  0.5000  2 Pt 3.26, 8 La 3.33-3.64
Al  0.5000  0.5000  0.0000  2 Pt 3.26, 8 La 3.33-3.64
Pt  0.0000  0.0000  0.0000  4 La 2.82
Pt  0.7500  0.2500  0.5000  4 La 2.82

Record 5
Below is an optimized crystal structure of LaAl3Pt2, with properties calculated at the PBE level.

Values from the calculation:
**Fermi-level density of states**: 3.2 states/eV/f.u.
**ΔH_f (0 K)**: -0.987 eV/atom
**Space group**: C2/m

Lattice parameters (Å, degrees): 7.8660 7.8660 8.1092 112.77 112.77 31.37
Closest atoms and distances in Å follow each position.
Element x y z (fractional)
La  0.1478  0.1478  0.0869  6 Pt 3.20-3.47, 7 Al 3.24-3.48
La  0.8522  0.8522  0.9131  6 Pt 3.20-3.47, 7 Al 3.24-3.48
Al  0.0197  0.0197  0.3481  3 Pt 2.53-2.54, 1 Al 2.76
Al  0.3213  0.3213  0.5558  4 Pt 2.56-2.66, 1 Al 2.80
Al  0.3815  0.3815  0.2711  3 Pt 2.44-2.50
Al  0.6185  0.6185  0.7289  3 Pt 2.44-2.50
Al  0.6787  0.6787  0.4442  4 Pt 2.56-2.66, 1 Al 2.80
Al  0.9803  0.9803  0.6519  3 Pt 2.53-2.54, 1 Al 2.76
Pt  0.1727  0.1727  0.6357  6 Al 2.50-2.66
Pt  0.4850  0.4850  0.8241  4 Al 2.44-2.56, 1 Pt 2.70
Pt  0.5150  0.5150  0.1759  4 Al 2.44-2.56, 1 Pt 2.70
Pt  0.8273  0.8273  0.3643  6 Al 2.50-2.66

Record 6
Below is an optimized crystal structure of La2AlPt, with properties calculated at the PBE level.

Values from the calculation:
**Fermi-level density of states**: 4.7 states/eV/f.u.
**ΔH_f (0 K)**: -0.732 eV/atom
**Space group**: R3m

Lattice parameters (Å, degrees): 6.3289 6.3289 6.3289 42.41 42.41 42.41
Closest atoms and distances in Å follow each position.
Element x y z (fractional)
La  0.0000  0.0000  0.0000  3 Al 3.11, 3 Pt 3.24, 1 La 3.46
La  0.2005  0.2005  0.2005  3 Pt 3.09, 3 Al 3.21
Al  0.4281  0.4281  0.4281  3 Pt 2.65
Pt  0.7749  0.7749  0.7749  3 Al 2.65

Record 7
Below is an optimized crystal structure of LaAl12Pt4, with properties calculated at the PBE level.

Values from the calculation:
**Fermi-level density of states**: 12.3 states/eV/f.u.
**ΔH_f (0 K)**: -0.392 eV/atom
**Space group**: Im-3

Lattice parameters (Å, degrees): 7.6426 7.6426 7.6426 109.47 109.47 109.47
Closest atoms and distances in Å follow each position.
Element x y z (fractional)
La  0.0000  0.0000  0.0000  12 Al 3.36
Al  0.1631  0.5069  0.3437  2 Pt 2.48, 1 Al 2.76
Al  0.1631  0.8194  0.6563  2 Pt 2.48, 1 Al 2.76
Al  0.1806  0.3437  0.8369  2 Pt 2.48, 1 Al 2.76
Al  0.3437  0.1631  0.5069  2 Pt 2.48, 1 Al 2.76
Al  0.3437  0.8369  0.1806  2 Pt 2.48, 1 Al 2.76
Al  0.4931  0.6563  0.8369  2 Pt 2.48, 1 Al 2.76
Al  0.5069  0.3437  0.1631  2 Pt 2.48, 1 Al 2.76
Al  0.6563  0.1631  0.8194  2 Pt 2.48, 1 Al 2.76
Al  0.6563  0.8369  0.4931  2 Pt 2.48, 1 Al 2.76
Al  0.8194  0.6563  0.1631  2 Pt 2.48, 1 Al 2.76
Al  0.8369  0.1806  0.3437  2 Pt 2.48, 1 Al 2.76
Al  0.8369  0.4931  0.6563  2 Pt 2.48, 1 Al 2.76
Pt  0.0000  0.0000  0.5000  6 Al 2.48
Pt  0.0000  0.5000  0.0000  6 Al 2.48
Pt  0.5000  0.0000  0.0000  6 Al 2.48
Pt  0.5000  0.5000  0.5000  6 Al 2.48

Record 8
Below is an optimized crystal structure of La2AlPt, with properties calculated at the PBE level.

Values from the calculation:
**Fermi-level density of states**: 4.8 states/eV/f.u.
**ΔH_f (0 K)**: -0.575 eV/atom
**Space group**: R-3m

Lattice parameters (Å, degrees): 8.4980 8.4980 8.4980 27.90 27.90 27.90
Closest atoms and distances in Å follow each position.
Element x y z (fractional)
La  0.2401  0.2401  0.2401  3 Pt 2.97, 3 Al 3.29
La  0.7599  0.7599  0.7599  3 Pt 2.97, 3 Al 3.29
Al  0.0000  0.0000  0.0000  6 La 3.29
Pt  0.5000  0.5000  0.5000  6 La 2.97

Record 9
Below is an optimized crystal structure of LaAl3Pt, with properties calculated at the PBE level.

Values from the calculation:
**Fermi-level density of states**: 6.0 states/eV/f.u.
**ΔH_f (0 K)**: 1.667 eV/atom
**Space group**: Pm-3m

Lattice parameters (Å, degrees): 5.4889 5.4889 5.4889 90.00 90.00 90.00
Closest atoms and distances in Å follow each position.
Element x y z (fractional)
La  0.0000  0.0000  0.0000  6 Al 2.74
Al  0.0000  0.0000  0.5000  2 La 2.74
Al  0.0000  0.5000  0.0000  2 La 2.74
Al  0.5000  0.0000  0.0000  2 La 2.74
Pt  0.5000  0.5000  0.5000  12 Al 3.88

Record 10
Below is an optimized crystal structure of LaAl2Pt8, with properties calculated at the PBE level.

Values from the calculation:
**Fermi-level density of states**: 6.5 states/eV/f.u.
**ΔH_f (0 K)**: -0.462 eV/atom
**Space group**: P4/mmm

Lattice parameters (Å, degrees): 5.3741 5.3741 8.0935 90.00 90.00 90.00
Closest atoms and distances in Å follow each position.
Element x y z (fractional)
La  0.0000  0.0000  0.0000  8 Pt 3.02
Al  0.0000  0.5000  0.5000  8 Pt 2.56
Al  0.5000  0.0000  0.5000  8 Pt 2.56
Pt  0.2534  0.2534  0.2875  2 Al 2.56, 4 Pt 2.65-2.72
Pt  0.2534  0.2534  0.7125  2 Al 2.56, 4 Pt 2.65-2.72
Pt  0.2534  0.7466  0.2875  2 Al 2.56, 4 Pt 2.65-2.72
Pt  0.2534  0.7466  0.7125  2 Al 2.56, 4 Pt 2.65-2.72
Pt  0.7466  0.2534  0.2875  2 Al 2.56, 4 Pt 2.65-2.72
Pt  0.7466  0.2534  0.7125  2 Al 2.56, 4 Pt 2.65-2.72
Pt  0.7466  0.7466  0.2875  2 Al 2.56, 4 Pt 2.65-2.72
Pt  0.7466  0.7466  0.7125  2 Al 2.56, 4 Pt 2.65-2.72

Record 11
Below is an optimized crystal structure of LaAl2Pt4, with properties calculated at the PBE level.

Values from the calculation:
**Fermi-level density of states**: 3.1 states/eV/f.u.
**ΔH_f (0 K)**: -0.965 eV/atom
**Space group**: Pnma

Lattice parameters (Å, degrees): 17.0818 4.2157 7.1504 90.00 90.00 90.00
Closest atoms and distances in Å follow each position.
Element x y z (fractional)
La  0.1463  0.2500  0.0454  8 Pt 2.93-3.24
La  0.3537  0.7500  0.5454  8 Pt 2.93-3.24
La  0.6463  0.2500  0.4546  8 Pt 2.93-3.24
La  0.8537  0.7500  0.9546  8 Pt 2.93-3.24
Al  0.0260  0.7500  0.2556  7 Pt 2.51-2.63
Al  0.1932  0.2500  0.5873  6 Pt 2.55-2.64
Al  0.3068  0.7500  0.0873  6 Pt 2.55-2.64
Al  0.4740  0.2500  0.7556  7 Pt 2.51-2.63
Al  0.5260  0.7500  0.2444  7 Pt 2.51-2.63
Al  0.6932  0.2500  0.9127  6 Pt 2.55-2.64
Al  0.8068  0.7500  0.4127  6 Pt 2.55-2.64
Al  0.9740  0.2500  0.7444  7 Pt 2.51-2.63
Pt  0.0378  0.7500  0.8911  3 Al 2.59-2.61
Pt  0.0552  0.2500  0.4516  4 Al 2.51-2.58
Pt  0.1700  0.7500  0.3846  3 Al 2.59-2.63
Pt  0.2161  0.7500  0.7892  3 Al 2.58-2.64
Pt  0.2839  0.2500  0.2892  3 Al 2.58-2.64
Pt  0.3300  0.2500  0.8846  3 Al 2.59-2.63
Pt  0.4448  0.7500  0.9516  4 Al 2.51-2.58
Pt  0.4622  0.2500  0.3911  3 Al 2.59-2.61
Pt  0.5378  0.7500  0.6089  3 Al 2.59-2.61
Pt  0.5552  0.2500  0.0484  4 Al 2.51-2.58
Pt  0.6700  0.7500  0.1154  3 Al 2.59-2.63
Pt  0.7161  0.7500  0.7108  3 Al 2.58-2.64
Pt  0.7839  0.2500  0.2108  3 Al 2.58-2.64
Pt  0.8300  0.2500  0.6154  3 Al 2.59-2.63
Pt  0.9448  0.7500  0.5484  4 Al 2.51-2.58
Pt  0.9622  0.2500  0.1089  3 Al 2.59-2.61

Record 12
Below is an optimized crystal structure of LaAl3Pt3, with properties calculated at the PBE level.

Values from the calculation:
**Fermi-level density of states**: 4.8 states/eV/f.u.
**ΔH_f (0 K)**: -0.716 eV/atom
**Space group**: Pm-3n

Lattice parameters (Å, degrees): 6.8083 6.8083 6.8083 90.00 90.00 90.00
Closest atoms and distances in Å follow each position.
Element x y z (fractional)
La  0.0000  0.0000  0.0000  12 Al 3.81, 12 Pt 3.81
La  0.5000  0.5000  0.5000  12 Al 3.81, 12 Pt 3.81
Al  0.0000  0.2500  0.5000  4 Pt 2.41
Al  0.0000  0.7500  0.5000  4 Pt 2.41
Al  0.2500  0.5000  0.0000  4 Pt 2.41
Al  0.5000  0.0000  0.2500  4 Pt 2.41
Al  0.5000  0.0000  0.7500  4 Pt 2.41
Al  0.7500  0.5000  0.0000  4 Pt 2.41
Pt  0.0000  0.5000  0.2500  4 Al 2.41
Pt  0.0000  0.5000  0.7500  4 Al 2.41
Pt  0.2500  0.0000  0.5000  4 Al 2.41
Pt  0.5000  0.2500  0.0000  4 Al 2.41
Pt  0.5000  0.7500  0.0000  4 Al 2.41
Pt  0.7500  0.0000  0.5000  4 Al 2.41